#w
The following is a DFT calculation (PBE-GGA) of crystalline Tm5IrPb2 at its relaxed geometry.

Results
- Crystal system: orthorhombic
- D(E_F): 13.01 states/eV/cell
- Total magnetization: 0.00 μB per formula unit

a b c (Å): 7.922 12.142 4.513
angles (deg): 90.00 90.00 90.00
Space group Pbam (No. 55)
Symmetry-distinct sites (fractional):
Tm1 0.000 0.000 0.000 (multiplicity 2)
Tm2 0.144 0.301 0.000 (multiplicity 4)
Tm3 0.183 0.568 0.500 (multiplicity 4)
Ir1 0.000 0.500 0.000 (multiplicity 2)
Pb1 0.069 0.827 0.500 (multiplicity 4)

---

#x
The following is a DFT calculation (PBE-GGA) of crystalline Tm5IrPb2 at its relaxed geometry.

Results
- Crystal system: orthorhombic
- D(E_F): 22.83 states/eV/cell
- Total magnetization: 0.00 μB per formula unit

a b c (Å): 5.449 16.329 12.440
angles (deg): 90.00 90.00 90.00
Space group Cmcm (No. 63)
Symmetry-distinct sites (fractional):
Tm1 0.000 0.080 0.108 (multiplicity 8)
Tm2 0.000 0.290 0.750 (multiplicity 4)
Tm3 0.000 0.298 0.066 (multiplicity 8)
Ir1 0.000 0.200 0.250 (multiplicity 4)
Pb1 0.000 0.115 0.626 (multiplicity 8)

---

The relative energies come out as #w 0; #x 426, with values in meV/atom.

---

#w
The following is a DFT calculation (PBE-GGA) of crystalline Tm4IrPb2 at its relaxed geometry.

Results
- Crystal system: monoclinic
- D(E_F): 8.91 states/eV/cell
- Total magnetization: 0.00 μB per formula unit

a b c (Å): 11.419 4.521 8.667
angles (deg): 90.00 121.79 90.00
Space group C2/m (No. 12)
Symmetry-distinct sites (fractional):
Tm1 0.064 0.000 0.347 (multiplicity 4)
Tm2 0.164 0.500 0.058 (multiplicity 4)
Ir1 0.000 0.000 0.000 (multiplicity 2)
Pb1 0.157 0.500 0.665 (multiplicity 4)

---

#x
The following is a DFT calculation (PBE-GGA) of crystalline Tm4IrPb2 at its relaxed geometry.

Results
- Crystal system: monoclinic
- D(E_F): 10.44 states/eV/cell
- Total magnetization: 0.00 μB per formula unit

a b c (Å): 7.244 6.463 8.554
angles (deg): 90.00 106.82 90.00
Space group P2_1/m (No. 11)
Symmetry-distinct sites (fractional):
Tm1 0.132 0.004 0.287 (multiplicity 4)
Tm2 0.277 0.750 0.658 (multiplicity 2)
Tm3 0.313 0.250 0.907 (multiplicity 2)
Ir1 0.084 0.250 0.580 (multiplicity 2)
Pb1 0.208 0.750 0.993 (multiplicity 2)
Pb2 0.468 0.250 0.576 (multiplicity 2)

---

The relative energies come out as #w 0; #x 82, with values in meV/atom.

---

#w
The following is a DFT calculation (PBE-GGA) of crystalline YTmIrPb at its relaxed geometry.

Results
- Crystal system: cubic
- D(E_F): 14.88 states/eV/cell
- Total magnetization: 0.00 μB per formula unit

a b c (Å): 7.224 7.224 7.224
angles (deg): 90.00 90.00 90.00
Space group F-43m (No. 216)
Symmetry-distinct sites (fractional):
Y1 0.000 0.000 0.000 (multiplicity 4)
Tm1 0.000 0.000 0.500 (multiplicity 4)
Ir1 0.250 0.250 0.750 (multiplicity 4)
Pb1 0.250 0.250 0.250 (multiplicity 4)

---

#x
The following is a DFT calculation (PBE-GGA) of crystalline YTmIrPb at its relaxed geometry.

Results
- Crystal system: tetragonal
- D(E_F): 1.46 states/eV/cell
- Total magnetization: 0.00 μB per formula unit

a b c (Å): 3.483 3.483 7.976
angles (deg): 90.00 90.00 90.00
Space group P4mm (No. 99)
Symmetry-distinct sites (fractional):
Y1 0.000 0.000 0.000 (multiplicity 1)
Tm1 0.000 0.000 0.591 (multiplicity 1)
Ir1 0.500 0.500 0.788 (multiplicity 1)
Pb1 0.500 0.500 0.299 (multiplicity 1)

---

The relative energies come out as #w 196; #x 0, with values in meV/atom.

---

#w
The following is a DFT calculation (PBE-GGA) of crystalline VIr3Pb at its relaxed geometry.

Results
- Crystal system: cubic
- D(E_F): 9.89 states/eV/cell
- Total magnetization: 2.11 μB per formula unit

a b c (Å): 4.937 4.937 4.937
angles (deg): 90.00 90.00 90.00
Space group Pm-3m (No. 221)
Symmetry-distinct sites (fractional):
V1 0.000 0.000 0.000 (multiplicity 1)
Ir1 0.000 0.500 0.500 (multiplicity 3)
Pb1 0.500 0.500 0.500 (multiplicity 1)

---

#x
The following is a DFT calculation (PBE-GGA) of crystalline VIr3Pb at its relaxed geometry.

Results
- Crystal system: cubic
- D(E_F): 4.17 states/eV/cell
- Total magnetization: 0.00 μB per formula unit

a b c (Å): 4.632 4.632 4.632
angles (deg): 90.00 90.00 90.00
Space group Pm-3m (No. 221)
Symmetry-distinct sites (fractional):
V1 0.000 0.000 0.000 (multiplicity 1)
Ir1 0.000 0.000 0.500 (multiplicity 3)
Pb1 0.500 0.500 0.500 (multiplicity 1)

---

The relative energies come out as #w 1323; #x 0, with values in meV/atom.

---

#w
The following is a DFT calculation (PBE-GGA) of crystalline VIrPb2 at its relaxed geometry.

Results
- Crystal system: tetragonal
- D(E_F): 23.49 states/eV/cell
- Total magnetization: 2.49 μB per formula unit

a b c (Å): 7.775 7.775 5.974
angles (deg): 90.00 90.00 90.00
Space group I-42d (No. 122)
Symmetry-distinct sites (fractional):
V1 0.000 0.000 0.000 (multiplicity 4)
Ir1 0.000 0.000 0.500 (multiplicity 4)
Pb1 0.227 0.250 0.625 (multiplicity 8)

---

#x
The following is a DFT calculation (PBE-GGA) of crystalline VIrPb2 at its relaxed geometry.

Results
- Crystal system: cubic
- D(E_F): 6.80 states/eV/cell
- Total magnetization: 2.35 μB per formula unit

a b c (Å): 6.835 6.835 6.835
angles (deg): 90.00 90.00 90.00
Space group Fm-3m (No. 225)
Symmetry-distinct sites (fractional):
V1 0.000 0.000 0.000 (multiplicity 4)
Ir1 0.000 0.000 0.500 (multiplicity 4)
Pb1 0.250 0.250 0.250 (multiplicity 8)

---

The relative energies come out as #w 254; #x 0, with values in meV/atom.

---

#w
The following is a DFT calculation (PBE-GGA) of crystalline IrPb3W at its relaxed geometry.

Results
- Crystal system: cubic
- D(E_F): 4.17 states/eV/cell
- Total magnetization: 3.42 μB per formula unit

a b c (Å): 5.264 5.264 5.264
angles (deg): 90.00 90.00 90.00
Space group Pm-3m (No. 221)
Symmetry-distinct sites (fractional):
Ir1 0.000 0.000 0.000 (multiplicity 1)
Pb1 0.000 0.000 0.500 (multiplicity 3)
W1 0.500 0.500 0.500 (multiplicity 1)

---

#x
The following is a DFT calculation (PBE-GGA) of crystalline IrPb3W at its relaxed geometry.

Results
- Crystal system: cubic
- D(E_F): 4.95 states/eV/cell
- Total magnetization: 3.00 μB per formula unit

a b c (Å): 5.349 5.349 5.349
angles (deg): 90.00 90.00 90.00
Space group Pm-3m (No. 221)
Symmetry-distinct sites (fractional):
Ir1 0.000 0.000 0.000 (multiplicity 1)
Pb1 0.000 0.500 0.500 (multiplicity 3)
W1 0.500 0.500 0.500 (multiplicity 1)

---

The relative energies come out as #w 0; #x 100, with values in meV/atom.